ZnFeGe2: relaxed, PBE-GGA.

a = 4.4791 Å, b = 4.4791 Å, c = 4.4791 Å
α = 60.00°, β = 60.00°, γ = 60.00°
Fractional positions:
Fe1 0.2500 0.2500 0.2500
Ge1 0.0000 0.0000 0.0000
Ge2 0.7500 0.7500 0.7500
Zn1 0.5000 0.5000 0.5000

Computed properties:
* calculated volume: 15.885 Å³ per atom
* space group: F-43m
* electronic total energy: -17.1 eV for the cell shown

=====

ZnFe2Ge: relaxed, PBE-GGA.

a = 5.7761 Å, b = 5.7761 Å, c = 5.7761 Å
α = 90.00°, β = 90.00°, γ = 90.00°
Each line ends with the local moment (μB).
Fractional positions:
Fe1 0.2584 0.2584 0.2584  0.80
Fe2 0.7416 0.2584 0.2584  0.80
Fe3 0.2584 0.7416 0.2584  0.80
Fe4 0.7416 0.7416 0.2584  0.81
Fe5 0.2584 0.2584 0.7416  0.81
Fe6 0.7416 0.2584 0.7416  0.80
Fe7 0.2584 0.7416 0.7416  0.80
Fe8 0.7416 0.7416 0.7416  0.80
Ge1 0.5000 0.5000 0.0000  -0.06
Ge2 0.5000 0.0000 0.5000  -0.07
Ge3 0.0000 0.5000 0.5000  -0.07
Ge4 0.5000 0.5000 0.5000  -0.07
Zn1 0.0000 0.0000 0.0000  -0.02
Zn2 0.5000 0.0000 0.0000  -0.02
Zn3 0.0000 0.5000 0.0000  -0.02
Zn4 0.0000 0.0000 0.5000  -0.03

Computed properties:
* calculated volume: 12.045 Å³ per atom
* space group: Pm-3m
* electronic total energy: -88.9 eV for the cell shown

=====

Zr2FeGe2: relaxed, PBE-GGA.

a = 7.2602 Å, b = 7.2602 Å, c = 7.2602 Å
α = 150.57°, β = 150.57°, γ = 42.10°
Fractional positions:
Fe1 0.0000 0.0000 0.0000
Ge1 0.7500 0.2500 0.5000
Ge2 0.2500 0.7500 0.5000
Zr1 0.4020 0.4020 0.0000
Zr2 0.5980 0.5980 0.0000

Computed properties:
* calculated volume: 18.432 Å³ per atom
* space group: I4/mmm
* electronic total energy: -34.0 eV for the cell shown

=====

Magnetization, respectively: 2.27, 1.49, 1.74 μB/f.u..